[1]
A plane-wave DFT calculation with PBE-GGA was carried out for a relaxed structure of Ti6PtN.

The value obtained for the raw formation energy is -69.0 kJ per mole of atoms. For the total magnetization, the calculation gives 0.0001 μB per atom. As for the crystal system: triclinic. The total energy comes out at -8.43 eV/atom.

Unit cell a=4.7044 b=5.2602 c=5.3640 alpha=97.41 beta=112.55 gamma=91.21
Space group P-1 (No. 2)
Inequivalent atoms, fractional coordinates:
Ti: 0.0598 0.2966 0.1592 (multiplicity 2)
Ti: 0.2120 0.8292 0.4526 (multiplicity 2)
Ti: 0.4090 0.3932 0.7454 (multiplicity 2)
Pt: 0.5000 0.0000 0.0000 (multiplicity 1)
N: 0.0000 0.5000 0.5000 (multiplicity 1)

[2]
A plane-wave DFT calculation with PBE-GGA was carried out for a relaxed structure of TiPtN3.

The value obtained for the raw formation energy is 124.7 kJ per mole of atoms. For the total magnetization, the calculation gives 0.0000 μB per atom. As for the crystal system: cubic. The total energy comes out at -6.49 eV/atom.

Unit cell a=3.8646 b=3.8646 c=3.8646 alpha=90.00 beta=90.00 gamma=90.00
Space group Pm-3m (No. 221)
Inequivalent atoms, fractional coordinates:
Ti: 0.0000 0.0000 0.0000 (multiplicity 1)
Pt: 0.5000 0.5000 0.5000 (multiplicity 1)
N: 0.0000 0.5000 0.5000 (multiplicity 3)

[3]
A plane-wave DFT calculation with PBE-GGA was carried out for a relaxed structure of TiPtN2.

Its energy above the most stable polymorph in this dataset is 0 meV per atom. The value obtained for the raw formation energy is -41.4 kJ per mole of atoms. For the total magnetization, the calculation gives 0.0000 μB per atom. As for the crystal system: trigonal. The total energy comes out at -8.08 eV/atom.

Unit cell a=2.9748 b=2.9748 c=18.5899 alpha=90.00 beta=90.00 gamma=120.00
Space group R-3m (No. 166, hexagonal axes)
Inequivalent atoms, fractional coordinates:
Ti: 0.0000 0.0000 0.0000 (multiplicity 3)
Pt: 0.0000 0.0000 0.5000 (multiplicity 3)
N: 0.0000 0.0000 0.3937 (multiplicity 6)

[4]
A plane-wave DFT calculation with PBE-GGA was carried out for a relaxed structure of Ti2PtN.

The value obtained for the raw formation energy is -123.2 kJ per mole of atoms. For the total magnetization, the calculation gives 0.0000 μB per atom. As for the crystal system: trigonal. The total energy comes out at -8.82 eV/atom.

Unit cell a=2.9728 b=2.9728 c=20.2024 alpha=90.00 beta=90.00 gamma=120.00
Space group R-3m (No. 166, hexagonal axes)
Inequivalent atoms, fractional coordinates:
Ti: 0.0000 0.0000 0.2248 (multiplicity 6)
Pt: 0.0000 0.0000 0.0000 (multiplicity 3)
N: 0.0000 0.0000 0.5000 (multiplicity 3)

[5]
A plane-wave DFT calculation with PBE-GGA was carried out for a relaxed structure of Ti5PtN.

The value obtained for the raw formation energy is -74.7 kJ per mole of atoms. For the total magnetization, the calculation gives 0.0004 μB per atom. As for the crystal system: monoclinic. The total energy comes out at -8.47 eV/atom.

Unit cell a=9.3467 b=5.6026 c=8.9061 alpha=90.00 beta=117.49 gamma=90.00
Space group C2/c (No. 15)
Inequivalent atoms, fractional coordinates:
Ti: 0.0000 0.0108 0.2500 (multiplicity 4)
Ti: 0.1390 0.3046 0.0564 (multiplicity 8)
Ti: 0.2032 0.1900 0.6091 (multiplicity 8)
Pt: 0.0000 0.4896 0.7500 (multiplicity 4)
N: 0.0000 0.0000 0.0000 (multiplicity 4)

[6]
A plane-wave DFT calculation with PBE-GGA was carried out for a relaxed structure of Ti8Pt2N3.

The value obtained for the raw formation energy is -91.7 kJ per mole of atoms. For the total magnetization, the calculation gives 0.0000 μB per atom. As for the crystal system: monoclinic. The total energy comes out at -8.66 eV/atom.

Unit cell a=11.9734 b=6.0407 c=5.6132 alpha=90.00 beta=108.12 gamma=90.00
Space group C2/m (No. 12)
Inequivalent atoms, fractional coordinates:
Ti: 0.0950 0.0000 0.3902 (multiplicity 4)
Ti: 0.0988 0.2379 0.8874 (multiplicity 8)
Ti: 0.1176 0.5000 0.5023 (multiplicity 4)
Pt: 0.2307 0.5000 0.1968 (multiplicity 4)
N: 0.0000 0.0000 0.0000 (multiplicity 2)
N: 0.0000 0.2456 0.5000 (multiplicity 4)